VASP calculation (PBE with a Hubbard U) on a relaxed structure of PuNiSnO6.

abc: 5.2321 5.2321 9.3024
angles: 90.00 90.00 120.00
Fractional coordinates of all 18 atoms:
Pu (0.6667, 0.3333, 0.2500)
Pu (0.3333, 0.6667, 0.7500)
Ni (0.3333, 0.6667, 0.2500)
Ni (0.6667, 0.3333, 0.7500)
Sn (0.0000, 0.0000, 0.0000)
Sn (0.0000, 0.0000, 0.5000)
O (0.6666, 0.6656, 0.1282)
O (0.9990, 0.3334, 0.1282)
O (0.3334, 0.9990, 0.6282)
O (0.0010, 0.6666, 0.8718)
O (0.3344, 0.3334, 0.3718)
O (0.9990, 0.6656, 0.3718)
O (0.6656, 0.9990, 0.8718)
O (0.6666, 0.0010, 0.3718)
O (0.0010, 0.3344, 0.6282)
O (0.3344, 0.0010, 0.1282)
O (0.6656, 0.6666, 0.6282)
O (0.3334, 0.3344, 0.8718)

Output
VASP energy: -7.44 eV/atom
calculated density: 7792 kg/m³
SG: P-31c (163)